VASP calculation (GGA-PBE) on a relaxed structure of CrHRu2.

```
CrHRu2
1.0
5.668 0.000 0.000
0.000 5.668 0.000
0.000 0.000 5.668
Cr H Ru
4 4 8
direct
0.000 0.000 0.000
0.000 0.500 0.500
0.500 0.000 0.500
0.500 0.500 0.000
0.000 0.000 0.500
0.000 0.500 0.000
0.500 0.000 0.000
0.500 0.500 0.500
0.250 0.250 0.250
0.250 0.250 0.750
0.250 0.750 0.250
0.250 0.750 0.750
0.750 0.250 0.250
0.750 0.250 0.750
0.750 0.750 0.250
0.750 0.750 0.750
```

Properties
The total magnetic moment comes out at 0.000 Bohr magnetons per cell. The calculation puts the volume at 11.4 Å³/atom. The value obtained for the energy above the lowest structure with this stoichiometry is 433 meV per atom. The space group is Fm-3m.

=====

VASP calculation (GGA-PBE) on a relaxed structure of CrH2Ru.

```
CrH2Ru
1.0
2.764 0.000 0.000
0.000 2.764 0.000
0.000 0.000 3.909
Cr H Ru
1 2 1
direct
0.000 0.000 0.000
0.000 0.000 0.500
0.500 0.500 0.000
0.500 0.500 0.500
```

Properties
The total magnetic moment comes out at 1.003 Bohr magnetons per cell. The calculation puts the volume at 7.5 Å³/atom. The value obtained for the energy above the lowest structure with this stoichiometry is 0 meV per atom. The space group is P4/mmm.

=====

- Among the records above, which one has the lowest total magnetic moment?
  CrHRu2

=====

- Among the records above, which one has the highest energy above the lowest structure with this stoichiometry?
  CrHRu2